No. 1
Ge3Te6As2 | meta-GGA SCAN | PBEsol geometry

Results
* energy relative to the elements, uncorrected: -0.21 eV per formula unit
* crystal system: trigonal
* space-group type: R-3m, No. 166

abc: 4.1145 4.1145 19.8696
angles: 84.06 84.06 60.00
Closest atoms and distances in Å follow each position.
Element x y z (fractional)
Ge  0.0000  0.0000  0.0000  6 Te 2.94
Ge  0.7253  0.7253  0.8240  6 Te 2.92-2.95
Ge  0.2747  0.2747  0.1760  6 Te 2.92-2.95
Te  0.9127  0.9127  0.2620  3 Ge 2.92, 3 As 2.99
Te  0.0873  0.0873  0.7380  3 Ge 2.92, 3 As 2.99
Te  0.8107  0.8107  0.5679  3 As 2.83
Te  0.1893  0.1893  0.4321  3 As 2.83
Te  0.6375  0.6375  0.0874  6 Ge 2.94-2.95
Te  0.3625  0.3625  0.9126  6 Ge 2.94-2.95
As  0.5487  0.5487  0.3540  6 Te 2.83-2.99
As  0.4513  0.4513  0.6460  6 Te 2.83-2.99


No. 2
ScTcPdBr2 | meta-GGA SCAN | PBEsol geometry

Results
* energy relative to the elements, uncorrected: 2.44 eV per formula unit
* crystal system: tetragonal
* space-group type: P4/mmm, No. 123

abc: 4.8623 4.8415 4.8415
angles: 90.00 90.00 90.00
Closest atoms and distances in Å follow each position.
Element x y z (fractional)
Sc  0.5000  0.0000  0.0000  2 Tc 2.43
Br  0.0000  0.0000  0.5000  2 Tc 2.42
Br  0.0000  0.5000  0.0000  2 Tc 2.42
Tc  0.0000  0.0000  0.0000  4 Br 2.42, 2 Sc 2.43
Pd  0.5000  0.5000  0.5000  4 Sc 3.42, 8 Br 3.43


No. 3
TlHgPb2 | meta-GGA SCAN | PBEsol geometry

Results
* formation energy from the elements: 0.666 kcal/mol of atoms
* crystal system: orthorhombic
* space-group type: Cmmm, No. 65

abc: 3.3628 3.3628 10.6730
angles: 90.00 90.00 113.79
Closest atoms and distances in Å follow each position.
Element x y z (fractional)
Pb  0.0000  0.0000  0.2381  2 Hg 3.14, 2 Tl 3.34, 4 Pb 3.36
Pb  0.0000  0.0000  0.7619  2 Hg 3.14, 2 Tl 3.34, 4 Pb 3.36
Tl  0.5000  0.5000  0.5000  4 Pb 3.34, 6 Tl 3.36-3.67
Hg  0.5000  0.5000  0.0000  4 Pb 3.14, 4 Hg 3.36


No. 4
InRe2Au | meta-GGA SCAN | PBEsol geometry

Results
* formation energy from the elements: 14.984 kcal/mol of atoms
* crystal system: tetragonal
* space-group type: P4/mmm, No. 123

abc: 3.8562 3.8562 4.3782
angles: 90.00 90.00 90.00
Closest atoms and distances in Å follow each position.
Element x y z (fractional)
Au  0.5000  0.5000  0.5000  4 In 2.73, 8 Re 2.92
In  0.0000  0.0000  0.5000  4 Au 2.73, 8 Re 2.92
Re  0.0000  0.5000  0.0000  4 Re 2.73, 4 In 2.92, 4 Au 2.92
Re  0.5000  0.0000  0.0000  4 Re 2.73, 4 In 2.92, 4 Au 2.92


The density of states at the Fermi level results, record by record, are as follows: 0.04, 2.52, 1.71, 3.10 states/eV/cell.
The VASP energy results, record by record, are as follows: -29.21, -23.71, -72.99, -60.53 eV/atom.